[1]
# La8NdTh2, optimized geometry, DFT PBE
data_La8NdTh2
_chemical_formula_sum 'La16 Nd2 Th4'
_cell_length_a 5.8416
_cell_length_b 8.2627
_cell_length_c 16.4622
_cell_angle_alpha 90.00
_cell_angle_beta 90.00
_cell_angle_gamma 90.00
_space_group_name_H-M_alt 'I m m m'
_space_group_IT_number 71
_space_group_name_Hall '-I 2 2'
loop_
_atom_site_label
_atom_site_type_symbol
_atom_site_fract_x
_atom_site_fract_y
_atom_site_fract_z
_atom_site_occupancy
La1 La 0.0000 0.0000 0.1622 1
La2 La 0.0000 0.2034 0.3615 1
La3 La 0.0000 0.2953 0.0000 1
Nd1 Nd 0.0000 0.5000 0.5000 1
Th1 Th 0.0000 0.5000 0.1973 1
# - Calculated formation energy: 130.2 meV/atom

[2]
# Mg3As5, optimized geometry, DFT PBE
data_Mg3As5
_chemical_formula_sum 'Mg6 As10'
_cell_length_a 7.9638
_cell_length_b 7.9638
_cell_length_c 6.1057
_cell_angle_alpha 90.00
_cell_angle_beta 90.00
_cell_angle_gamma 120.00
_space_group_name_H-M_alt 'P 63/m c m'
_space_group_IT_number 193
_space_group_name_Hall '-P 6c 2'
loop_
_atom_site_label
_atom_site_type_symbol
_atom_site_fract_x
_atom_site_fract_y
_atom_site_fract_z
_atom_site_occupancy
Mg1 Mg 0.0000 0.4192 0.2500 1
As1 As 0.0000 0.1818 0.7500 1
As2 As 0.3333 0.6667 0.0000 1
# - Calculated formation energy: -94.6 meV/atom